[1]
The following is a PBE-GGA calculation of a relaxed structure of ZrCd2, from Alexandria.

The structure belongs to space group Fd-3m (No. 227, origin choice 2); the cell edges are 8.037, 8.037 and 8.037 Å and the angles 90.00°, 90.00° and 90.00°. The inequivalent atoms are Zr at (0.125, 0.125, 0.125) and Cd at (0.000, 0.000, 0.500).

The total magnetization comes out at 0.9 μB per formula unit. Its energy is -3.483 eV per atom.


[2]
The following is a PBE-GGA calculation of a relaxed structure of ZrCd3, from Alexandria.

The structure belongs to space group I4/mmm (No. 139); the cell edges are 4.541, 4.541 and 16.720 Å and the angles 90.00°, 90.00° and 90.00°. The inequivalent atoms are Zr at (0.000, 0.000, 0.124), Cd at (0.000, 0.000, 0.370), Cd at (0.000, 0.500, 0.000) and Cd at (0.000, 0.500, 0.250).

The total magnetization comes out at 0.0 μB per formula unit. Its energy is -2.885 eV per atom.


[3]
The following is a PBE-GGA calculation of a relaxed structure of Zr2Cd, from Alexandria.

The structure belongs to space group I4/mcm (No. 140); the cell edges are 7.197, 7.197 and 5.292 Å and the angles 90.00°, 90.00° and 90.00°. The inequivalent atoms are Zr at (0.146, 0.354, 0.000) and Cd at (0.000, 0.000, 0.250).

The total magnetization comes out at 0.0 μB per formula unit. Its energy is -5.934 eV per atom.


[4]
The following is a PBE-GGA calculation of a relaxed structure of ZrCd2, from Alexandria.

The structure belongs to space group Fm-3m (No. 225); the cell edges are 6.803, 6.803 and 6.803 Å and the angles 90.00°, 90.00° and 90.00°. The inequivalent atoms are Zr at (0.000, 0.000, 0.000) and Cd at (0.250, 0.250, 0.250).

The total magnetization comes out at 0.0 μB per formula unit. Its energy is -3.032 eV per atom.


[5]
The following is a PBE-GGA calculation of a relaxed structure of Zr5Cd4, from Alexandria.

The structure belongs to space group P6_3/mcm (No. 193); the cell edges are 8.7381, 8.7381 and 6.0347 Å and the angles 90.00°, 90.00° and 120.00°. The inequivalent atoms are Zr at (0.0000, 0.3266, 0.2500), Zr at (0.3333, 0.6667, 0.0000), Cd at (0.0000, 0.0000, 0.0000) and Cd at (0.0000, 0.3423, 0.7500).

The total magnetization comes out at 1.2 μB per formula unit. Its energy is -5.186 eV per atom.


[6]
The following is a PBE-GGA calculation of a relaxed structure of Zr3Cd, from Alexandria.

The structure belongs to space group P2/m (No. 10); the cell edges are 3.001, 5.283 and 5.707 Å and the angles 90.00°, 95.76° and 90.00°. The inequivalent atoms are Zr at (0.000, 0.000, 0.000), Zr at (0.249, 0.500, 0.766) and Cd at (0.500, 0.000, 0.500).

The total magnetization comes out at 0.0 μB per formula unit. Its energy is -6.612 eV per atom.


[7]
The following is a PBE-GGA calculation of a relaxed structure of Zr3Cd5, from Alexandria.

The structure belongs to space group P4/mmm (No. 123); the cell edges are 3.177, 3.177 and 17.184 Å and the angles 90.00°, 90.00° and 90.00°. The inequivalent atoms are Zr at (0.000, 0.000, 0.000), Zr at (0.500, 0.500, 0.374), Cd at (0.000, 0.000, 0.248), Cd at (0.000, 0.000, 0.500) and Cd at (0.500, 0.500, 0.125).

The total magnetization comes out at 0.5 μB per formula unit. Its energy is -3.881 eV per atom.


[8]
The following is a PBE-GGA calculation of a relaxed structure of Zr3Cd, from Alexandria.

The structure belongs to space group Pmmm (No. 47); the cell edges are 3.226, 4.172 and 6.674 Å and the angles 90.00°, 90.00° and 90.00°. The inequivalent atoms are Zr at (0.000, 0.000, 0.000), Zr at (0.500, 0.500, 0.248) and Cd at (0.000, 0.000, 0.500).

The total magnetization comes out at 0.0 μB per formula unit. Its energy is -6.696 eV per atom.


[9]
The following is a PBE-GGA calculation of a relaxed structure of Zr3Cd, from Alexandria.

The structure belongs to space group R-3m (No. 166, hexagonal axes); the cell edges are 3.2191, 3.2191 and 30.9550 Å and the angles 90.00°, 90.00° and 120.00°. The inequivalent atoms are Zr at (0.0000, 0.0000, 0.0000), Zr at (0.0000, 0.0000, 0.2506) and Cd at (0.0000, 0.0000, 0.5000).

The total magnetization comes out at 0.0 μB per formula unit. Its energy is -6.636 eV per atom.


[10]
The following is a PBE-GGA calculation of a relaxed structure of ZrCd2, from Alexandria.

The structure belongs to space group C2/m (No. 12); the cell edges are 11.297, 3.166 and 7.678 Å and the angles 90.00°, 106.18° and 90.00°. The inequivalent atoms are Zr at (0.144, 0.000, 0.034), Cd at (0.026, 0.500, 0.303) and Cd at (0.191, 0.000, 0.636).

The total magnetization comes out at 0.0 μB per formula unit. Its energy is -3.537 eV per atom.


[11]
The following is a PBE-GGA calculation of a relaxed structure of ZrCd, from Alexandria.

The structure belongs to space group Fd-3m (No. 227, origin choice 2); the cell edges are 7.134, 7.134 and 7.134 Å and the angles 90.00°, 90.00° and 90.00°. The inequivalent atoms are Zr at (0.125, 0.125, 0.125) and Cd at (0.125, 0.125, 0.625).

The total magnetization comes out at 1.7 μB per formula unit. Its energy is -4.535 eV per atom.


[12]
The following is a PBE-GGA calculation of a relaxed structure of ZrCd3, from Alexandria.

The structure belongs to space group Pm-3m (No. 221); the cell edges are 4.421, 4.421 and 4.421 Å and the angles 90.00°, 90.00° and 90.00°. The inequivalent atoms are Zr at (0.000, 0.000, 0.000) and Cd at (0.000, 0.500, 0.500).

The total magnetization comes out at 0.0 μB per formula unit. Its energy is -2.926 eV per atom.


[13]
The following is a PBE-GGA calculation of a relaxed structure of Zr5Cd, from Alexandria.

The structure belongs to space group Amm2 (No. 38); the cell edges are 5.277, 3.183 and 16.408 Å and the angles 90.00°, 90.00° and 90.00°. The inequivalent atoms are Zr at (0.000, 0.000, 0.000), Zr at (0.000, 0.000, 0.332), Zr at (0.000, 0.000, 0.667), Zr at (0.500, 0.000, 0.215), Zr at (0.500, 0.000, 0.883) and Cd at (0.500, 0.000, 0.553).

The total magnetization comes out at 0.0 μB per formula unit. Its energy is -7.273 eV per atom.


[14]
The following is a PBE-GGA calculation of a relaxed structure of Zr2Cd, from Alexandria.

The structure belongs to space group P-3m1 (No. 164); the cell edges are 3.2734, 3.2734 and 7.5584 Å and the angles 90.00°, 90.00° and 120.00°. The inequivalent atoms are Zr at (0.3333, 0.6667, 0.1606) and Cd at (0.0000, 0.0000, 0.5000).

The total magnetization comes out at 0.0 μB per formula unit. Its energy is -6.033 eV per atom.


[15]
The following is a PBE-GGA calculation of a relaxed structure of ZrCd5, from Alexandria.

The structure belongs to space group F-43m (No. 216); the cell edges are 8.130, 8.130 and 8.130 Å and the angles 90.00°, 90.00° and 90.00°. The inequivalent atoms are Zr at (0.000, 0.000, 0.000), Cd at (0.126, 0.126, 0.626) and Cd at (0.250, 0.250, 0.250).

The total magnetization comes out at 0.5 μB per formula unit. Its energy is -2.018 eV per atom.


[16]
The following is a PBE-GGA calculation of a relaxed structure of Zr2Cd, from Alexandria.

The structure belongs to space group C2/m (No. 12); the cell edges are 12.026, 3.203 and 7.214 Å and the angles 90.00°, 103.70° and 90.00°. The inequivalent atoms are Zr at (0.144, 0.000, 0.030), Zr at (0.193, 0.000, 0.633) and Cd at (0.028, 0.500, 0.305).

The total magnetization comes out at 0.0 μB per formula unit. Its energy is -6.098 eV per atom.


[17]
The following is a PBE-GGA calculation of a relaxed structure of ZrCd, from Alexandria.

The structure belongs to space group Pmmn (No. 59, origin choice 2); the cell edges are 3.239, 4.241 and 6.466 Å and the angles 90.00°, 90.00° and 90.00°. The inequivalent atoms are Zr at (0.250, 0.250, 0.124) and Cd at (0.250, 0.250, 0.625).

The total magnetization comes out at 0.0 μB per formula unit. Its energy is -4.783 eV per atom.


[18]
The following is a PBE-GGA calculation of a relaxed structure of Zr4Cd3, from Alexandria.

The structure belongs to space group I4/mmm (No. 139); the cell edges are 3.099, 3.099 and 32.557 Å and the angles 90.00°, 90.00° and 90.00°. The inequivalent atoms are Zr at (0.000, 0.000, 0.073), Zr at (0.000, 0.000, 0.357), Cd at (0.000, 0.000, 0.215) and Cd at (0.000, 0.000, 0.500).

The total magnetization comes out at 0.0 μB per formula unit. Its energy is -5.394 eV per atom.


[19]
The following is a PBE-GGA calculation of a relaxed structure of Zr7Cd, from Alexandria.

The structure belongs to space group Fm-3m (No. 225); the cell edges are 9.016, 9.016 and 9.016 Å and the angles 90.00°, 90.00° and 90.00°. The inequivalent atoms are Zr at (0.000, 0.000, 0.000), Zr at (0.000, 0.250, 0.250) and Cd at (0.000, 0.000, 0.500).

The total magnetization comes out at 0.0 μB per formula unit. Its energy is -7.562 eV per atom.


[20]
The following is a PBE-GGA calculation of a relaxed structure of ZrCd3, from Alexandria.

The structure belongs to space group Pmm2 (No. 25); the cell edges are 3.077, 4.933 and 5.814 Å and the angles 90.00°, 90.00° and 90.00°. The inequivalent atoms are Zr at (0.000, 0.000, 0.000), Cd at (0.000, 0.500, 0.314), Cd at (0.500, 0.000, 0.504) and Cd at (0.500, 0.500, 0.816).

The total magnetization comes out at 0.0 μB per formula unit. Its energy is -2.816 eV per atom.